# 1
Entry from the Alexandria database: a geometry-optimized Mn5AlSi2Mo2 structure (GGA-PBE).

Values from the calculation:
For the uncorrected formation energy, the calculation gives -0.1365 eV/atom. As for the total energy: -8.346 eV per atom. The space-group type is No. 127.

abc: 8.5512 8.5512 3.6042
angles: 90.00 90.00 90.00
Closest atoms and distances in Å follow each position.
Atoms (fractional coordinates):
Mn1 0.0000 0.5000 0.0000  4 Si 2.30, 4 Mn 2.54
Mn2 0.0626 0.2092 0.0000  2 Si 2.38, 3 Mn 2.54-2.64, 2 Al 2.60
Mn3 0.2092 0.9374 0.0000  2 Si 2.38, 3 Mn 2.54-2.64, 2 Al 2.60
Mn4 0.2908 0.4374 0.0000  2 Si 2.38, 3 Mn 2.54-2.64, 2 Al 2.60
Mn5 0.4374 0.7092 0.0000  2 Si 2.38, 3 Mn 2.54-2.64, 2 Al 2.60
Mn6 0.5000 0.0000 0.0000  4 Si 2.30, 4 Mn 2.54
Mn7 0.5626 0.2908 0.0000  2 Si 2.38, 3 Mn 2.54-2.64, 2 Al 2.60
Mn8 0.7092 0.5626 0.0000  2 Si 2.38, 3 Mn 2.54-2.64, 2 Al 2.60
Mn9 0.7908 0.0626 0.0000  2 Si 2.38, 3 Mn 2.54-2.64, 2 Al 2.60
Mn10 0.9374 0.7908 0.0000  2 Si 2.38, 3 Mn 2.54-2.64, 2 Al 2.60
Al1 0.0000 0.0000 0.5000  8 Mn 2.60
Al2 0.5000 0.5000 0.5000  8 Mn 2.60
Si1 0.1178 0.3822 0.5000  6 Mn 2.30-2.38, 1 Mo 2.48
Si2 0.3822 0.8822 0.5000  6 Mn 2.30-2.38, 1 Mo 2.48
Si3 0.6178 0.1178 0.5000  6 Mn 2.30-2.38, 1 Mo 2.48
Si4 0.8822 0.6178 0.5000  6 Mn 2.30-2.38, 1 Mo 2.48
Mo1 0.1774 0.6774 0.5000  3 Si 2.48-2.58
Mo2 0.3226 0.1774 0.5000  3 Si 2.48-2.58
Mo3 0.6774 0.8226 0.5000  3 Si 2.48-2.58
Mo4 0.8226 0.3226 0.5000  3 Si 2.48-2.58

# 2
Entry from the Alexandria database: a geometry-optimized Sr2MnAlMo structure (GGA-PBE).

Values from the calculation:
As for the total energy: -4.479 eV per atom. The space-group type is No. 123.

abc: 6.0536 6.0536 4.4327
angles: 90.00 90.00 90.00
Closest atoms and distances in Å follow each position.
Atoms (fractional coordinates):
Sr1 0.0000 0.5000 0.0000  2 Mo 3.03
Sr2 0.5000 0.0000 0.0000  2 Mo 3.03
Mn1 0.0000 0.0000 0.5000  2 Mo 2.22
Al1 0.5000 0.5000 0.5000  8 Sr 3.75
Mo1 0.0000 0.0000 0.0000  2 Mn 2.22

# 3
Entry from the Alexandria database: a geometry-optimized TaMnAlMo structure (GGA-PBE).

Values from the calculation:
As for the total energy: -9.025 eV per atom. The space-group type is No. 216.

abc: 6.2600 6.2600 6.2600
angles: 90.00 90.00 90.00
Closest atoms and distances in Å follow each position.
Atoms (fractional coordinates):
Ta1 0.0000 0.0000 0.0000  4 Mn 2.71, 4 Mo 2.71
Ta2 0.0000 0.5000 0.5000  4 Mn 2.71, 4 Mo 2.71
Ta3 0.5000 0.0000 0.5000  4 Mn 2.71, 4 Mo 2.71
Ta4 0.5000 0.5000 0.0000  4 Mn 2.71, 4 Mo 2.71
Mn1 0.2500 0.2500 0.2500  4 Al 2.71, 4 Ta 2.71
Mn2 0.2500 0.7500 0.7500  4 Ta 2.71, 4 Al 2.71
Mn3 0.7500 0.2500 0.7500  4 Ta 2.71, 4 Al 2.71
Mn4 0.7500 0.7500 0.2500  4 Ta 2.71, 4 Al 2.71
Al1 0.0000 0.0000 0.5000  4 Mo 2.71, 4 Mn 2.71
Al2 0.0000 0.5000 0.0000  4 Mo 2.71, 4 Mn 2.71
Al3 0.5000 0.0000 0.0000  4 Mo 2.71, 4 Mn 2.71
Al4 0.5000 0.5000 0.5000  4 Mo 2.71, 4 Mn 2.71
Mo1 0.2500 0.2500 0.7500  4 Ta 2.71, 4 Al 2.71
Mo2 0.2500 0.7500 0.2500  4 Ta 2.71, 4 Al 2.71
Mo3 0.7500 0.2500 0.2500  4 Ta 2.71, 4 Al 2.71
Mo4 0.7500 0.7500 0.7500  4 Ta 2.71, 4 Al 2.71

# 4
Entry from the Alexandria database: a geometry-optimized Ti5Mn2Al2Mo structure (GGA-PBE).

Values from the calculation:
As for the total energy: -7.681 eV per atom. The space-group type is No. 127.

abc: 8.9478 8.9478 3.8534
angles: 90.00 90.00 90.00
Closest atoms and distances in Å follow each position.
Atoms (fractional coordinates):
Ti1 0.0000 0.5000 0.0000  4 Mn 2.47, 4 Ti 2.76
Ti2 0.0835 0.2034 0.0000  2 Mn 2.50, 4 Ti 2.70-2.78, 2 Mo 2.75
Ti3 0.2034 0.9165 0.0000  2 Mn 2.50, 4 Ti 2.70-2.78, 2 Mo 2.75
Ti4 0.2966 0.4165 0.0000  2 Mn 2.50, 4 Ti 2.70-2.78, 2 Mo 2.75
Ti5 0.4165 0.7034 0.0000  2 Mn 2.50, 4 Ti 2.70-2.78, 2 Mo 2.75
Ti6 0.5000 0.0000 0.0000  4 Mn 2.47, 4 Ti 2.76
Ti7 0.5835 0.2966 0.0000  2 Mn 2.50, 4 Ti 2.70-2.78, 2 Mo 2.75
Ti8 0.7034 0.5835 0.0000  2 Mn 2.50, 4 Ti 2.70-2.78, 2 Mo 2.75
Ti9 0.7966 0.0835 0.0000  2 Mn 2.50, 4 Ti 2.70-2.78, 2 Mo 2.75
Ti10 0.9165 0.7966 0.0000  2 Mn 2.50, 4 Ti 2.70-2.78, 2 Mo 2.75
Mn1 0.1223 0.3777 0.5000  6 Ti 2.47-2.50, 3 Al 2.61-2.66
Mn2 0.3777 0.8777 0.5000  6 Ti 2.47-2.50, 3 Al 2.61-2.66
Mn3 0.6223 0.1223 0.5000  6 Ti 2.47-2.50, 3 Al 2.61-2.66
Mn4 0.8777 0.6223 0.5000  6 Ti 2.47-2.50, 3 Al 2.61-2.66
Al1 0.1713 0.6713 0.5000  3 Mn 2.61-2.66, 2 Ti 2.90
Al2 0.3287 0.1713 0.5000  3 Mn 2.61-2.66, 2 Ti 2.90
Al3 0.6713 0.8287 0.5000  3 Mn 2.61-2.66, 2 Ti 2.90
Al4 0.8287 0.3287 0.5000  3 Mn 2.61-2.66, 2 Ti 2.90
Mo1 0.0000 0.0000 0.5000  8 Ti 2.75
Mo2 0.5000 0.5000 0.5000  8 Ti 2.75